# 1
The following is a SCAN calculation of a crystal of Ca2ZrReAg relaxed with PBEsol, from Alexandria via LeMat-Bulk.

- SG = P4/mmm, No. 123
- DOS at the Fermi energy (states/eV per cell) = 5.43
- energy of formation (eV per atom) = 1.318
- VASP energy (eV/f.u.) = -145.90

a b c (Å): 5.1026 5.1026 5.2820
angles (deg): 90.00 90.00 90.00
Last column: nearest neighbours and their distance in Å.
Element x y z (fractional)
Ca  0.0000  0.5000  0.0000  2 Ag 2.55
Ca  0.5000  0.0000  0.0000  2 Ag 2.55
Zr  0.0000  0.0000  0.5000  2 Ag 2.64
Re  0.5000  0.5000  0.5000  4 Zr 3.61, 8 Ca 3.67
Ag  0.0000  0.0000  0.0000  4 Ca 2.55, 2 Zr 2.64

# 2
The following is a SCAN calculation of a crystal of CdMoAs relaxed with PBEsol, from Alexandria via LeMat-Bulk.

- SG = F-43m, No. 216
- DOS at the Fermi energy (states/eV per cell) = 1.90
- polymorph energy (0 for the lowest one) (eV/atom) = 0.674
- energy of formation (eV per atom) = 1.080
- VASP energy (eV/f.u.) = -82.25

a b c (Å): 4.5195 4.5195 4.5195
angles (deg): 60.00 60.00 60.00
Last column: nearest neighbours and their distance in Å.
Element x y z (fractional)
Cd  0.0000  0.0000  0.0000  4 As 2.77, 4 Mo 2.77
Mo  0.2500  0.2500  0.2500  4 Cd 2.77
As  0.7500  0.7500  0.7500  4 Cd 2.77

# 3
The following is a SCAN calculation of a crystal of La3HfBi relaxed with PBEsol, from Alexandria via LeMat-Bulk.

- SG = Pm-3m, No. 221
- DOS at the Fermi energy (states/eV per cell) = 4.09
- polymorph energy (0 for the lowest one) (eV/atom) = 0.000
- energy of formation (eV per atom) = 0.112
- VASP energy (eV/f.u.) = -270.01

a b c (Å): 5.5511 5.5511 5.5511
angles (deg): 90.00 90.00 90.00
Last column: nearest neighbours and their distance in Å.
Element x y z (fractional)
La  0.0000  0.0000  0.5000  2 Hf 2.78
La  0.0000  0.5000  0.0000  2 Hf 2.78
La  0.5000  0.0000  0.0000  2 Hf 2.78
Hf  0.0000  0.0000  0.0000  6 La 2.78
Bi  0.5000  0.5000  0.5000  12 La 3.93

# 4
The following is a SCAN calculation of a crystal of InHg3 relaxed with PBEsol, from Alexandria via LeMat-Bulk.

- SG = I4/mmm, No. 139
- DOS at the Fermi energy (states/eV per cell) = 2.08
- energy of formation (eV per atom) = 0.013
- VASP energy (eV/f.u.) = -237.83

a b c (Å): 9.2643 9.2643 9.2643
angles (deg): 150.63 150.63 42.02
Last column: nearest neighbours and their distance in Å.
Element x y z (fractional)
In  0.1248  0.1248  0.0000  12 Hg 3.19-3.32
In  0.8752  0.8752  0.0000  12 Hg 3.19-3.32
Hg  0.0000  0.5000  0.5000  4 In 3.19, 8 Hg 3.19-3.32
Hg  0.2500  0.7500  0.5000  8 Hg 3.19-3.32, 4 In 3.19
Hg  0.3751  0.3751  0.0000  8 Hg 3.19, 4 In 3.32
Hg  0.5000  0.0000  0.5000  4 In 3.19, 8 Hg 3.19-3.32
Hg  0.6249  0.6249  0.0000  8 Hg 3.19, 4 In 3.32
Hg  0.7500  0.2500  0.5000  8 Hg 3.19-3.32, 4 In 3.19

# 5
The following is a SCAN calculation of a crystal of MgNbH3 relaxed with PBEsol, from Alexandria via LeMat-Bulk.

- SG = Pm-3m, No. 221
- DOS at the Fermi energy (states/eV per cell) = 1.33
- VASP energy (eV/f.u.) = -46.23

a b c (Å): 3.5110 3.5110 3.5110
angles (deg): 90.00 90.00 90.00
Last column: nearest neighbours and their distance in Å.
Element x y z (fractional)
Mg  0.0000  0.0000  0.0000  6 H 1.76
Nb  0.5000  0.5000  0.5000  12 H 2.48
H  0.0000  0.0000  0.5000  2 Mg 1.76
H  0.0000  0.5000  0.0000  2 Mg 1.76
H  0.5000  0.0000  0.0000  2 Mg 1.76

# 6
The following is a SCAN calculation of a crystal of MgZrRh2 relaxed with PBEsol, from Alexandria via LeMat-Bulk.

- SG = I-4m2, No. 119
- DOS at the Fermi energy (states/eV per cell) = 2.89
- energy of formation (eV per atom) = -0.700
- VASP energy (eV/f.u.) = -106.02

a b c (Å): 5.2158 5.2158 5.2158
angles (deg): 137.64 137.64 61.46
Last column: nearest neighbours and their distance in Å.
Element x y z (fractional)
Mg  0.0000  0.0000  0.0000  8 Rh 2.67-2.93, 4 Zr 2.93
Zr  0.2500  0.7500  0.5000  8 Rh 2.67-2.93, 4 Mg 2.93
Rh  0.5000  0.5000  0.0000  4 Mg 2.67, 4 Zr 2.93, 4 Rh 2.93
Rh  0.7500  0.2500  0.5000  4 Zr 2.67, 4 Rh 2.93, 4 Mg 2.93

# 7
The following is a SCAN calculation of a crystal of Cu2MoRh relaxed with PBEsol, from Alexandria via LeMat-Bulk.

- SG = C2/m, No. 12
- DOS at the Fermi energy (states/eV per cell) = 2.89
- energy of formation (eV per atom) = 0.148
- VASP energy (eV/f.u.) = -98.46

a b c (Å): 4.6077 4.6077 4.5245
angles (deg): 99.41 99.41 33.49
Last column: nearest neighbours and their distance in Å.
Element x y z (fractional)
Cu  0.2488  0.2488  0.2496  6 Cu 2.62-2.66, 3 Mo 2.64-2.67, 3 Rh 2.65
Cu  0.7512  0.7512  0.7504  6 Cu 2.62-2.66, 3 Mo 2.64-2.67, 3 Rh 2.65
Mo  0.0000  0.0000  0.5000  4 Rh 2.62, 6 Cu 2.64-2.67, 2 Mo 2.66
Rh  0.5000  0.5000  0.0000  4 Mo 2.62, 6 Cu 2.65, 2 Rh 2.66

# 8
The following is a SCAN calculation of a crystal of V2ReOs relaxed with PBEsol, from Alexandria via LeMat-Bulk.

- SG = Fm-3m, No. 225
- DOS at the Fermi energy (states/eV per cell) = 3.12
- energy of formation (eV per atom) = -0.480
- VASP energy (eV/f.u.) = -179.88

a b c (Å): 4.2390 4.2390 4.2390
angles (deg): 60.00 60.00 60.00
Last column: nearest neighbours and their distance in Å.
Element x y z (fractional)
V  0.2500  0.2500  0.2500  4 Os 2.60, 4 Re 2.60
V  0.7500  0.7500  0.7500  4 Os 2.60, 4 Re 2.60
Re  0.0000  0.0000  0.0000  8 V 2.60
Os  0.5000  0.5000  0.5000  8 V 2.60

# 9
The following is a SCAN calculation of a crystal of Ba2Fe2Se2OF2 relaxed with PBEsol, from Alexandria via LeMat-Bulk.

- SG = I4/mmm, No. 139
- DOS at the Fermi energy (states/eV per cell) = 2.53
- VASP energy (eV/f.u.) = -189.17

a b c (Å): 10.2465 10.2465 10.2465
angles (deg): 156.81 156.81 33.02
Last column: nearest neighbours and their distance in Å.
Element x y z (fractional)
Ba  0.1683  0.1683  0.0000  4 F 2.61
Ba  0.8317  0.8317  0.0000  4 F 2.61
Fe  0.0000  0.5000  0.5000  2 O 2.06
Fe  0.5000  0.0000  0.5000  2 O 2.06
Se  0.4128  0.4128  0.0000  4 Fe 2.68
Se  0.5872  0.5872  0.0000  4 Fe 2.68
O  0.0000  0.0000  0.0000  4 Fe 2.06
F  0.2500  0.7500  0.5000  4 Ba 2.61, 4 F 2.91
F  0.7500  0.2500  0.5000  4 Ba 2.61, 4 F 2.91

# 10
The following is a SCAN calculation of a crystal of YGeAuCl2 relaxed with PBEsol, from Alexandria via LeMat-Bulk.

- SG = P4/mmm, No. 123
- DOS at the Fermi energy (states/eV per cell) = 2.09
- VASP energy (eV/f.u.) = -135.14

a b c (Å): 4.9603 4.9603 6.1303
angles (deg): 90.00 90.00 90.00
Last column: nearest neighbours and their distance in Å.
Element x y z (fractional)
Y  0.0000  0.0000  0.0000  4 Cl 2.48
Ge  0.0000  0.0000  0.5000  2 Y 3.07
Au  0.5000  0.5000  0.5000  4 Ge 3.51
Cl  0.0000  0.5000  0.0000  2 Y 2.48
Cl  0.5000  0.0000  0.0000  2 Y 2.48

# 11
The following is a SCAN calculation of a crystal of CeGa2Ni relaxed with PBEsol, from Alexandria via LeMat-Bulk.

- SG = Cmmm, No. 65
- DOS at the Fermi energy (states/eV per cell) = 7.55
- energy of formation (eV per atom) = -0.668
- VASP energy (eV/f.u.) = -96.10

a b c (Å): 8.8484 8.8484 4.0504
angles (deg): 90.00 90.00 153.10
Last column: nearest neighbours and their distance in Å.
Element x y z (fractional)
Ce  0.1417  0.8583  0.0000  4 Ni 3.11, 10 Ga 3.12-3.25
Ce  0.8583  0.1417  0.0000  4 Ni 3.11, 10 Ga 3.12-3.25
Ga  0.0000  0.0000  0.5000  4 Ni 2.42
Ga  0.2896  0.7104  0.5000  1 Ni 2.34, 2 Ga 2.47
Ga  0.5000  0.5000  0.0000  4 Ni 2.40
Ga  0.7104  0.2896  0.5000  1 Ni 2.34, 2 Ga 2.47
Ni  0.4257  0.5743  0.5000  5 Ga 2.34-2.42, 1 Ni 2.56
Ni  0.5743  0.4257  0.5000  5 Ga 2.34-2.42, 1 Ni 2.56

# 12
The following is a SCAN calculation of a crystal of Ba2Mg3 relaxed with PBEsol, from Alexandria via LeMat-Bulk.

- SG = R-3m, No. 166
- DOS at the Fermi energy (states/eV per cell) = 5.02
- polymorph energy (0 for the lowest one) (eV/atom) = 0.248
- energy of formation (eV per atom) = 0.220
- VASP energy (eV/f.u.) = -92.92

a b c (Å): 14.3699 14.3699 14.3699
angles (deg): 15.28 15.28 15.28
Last column: nearest neighbours and their distance in Å.
Element x y z (fractional)
Ba  0.0965  0.0965  0.0965  6 Mg 3.71-3.72, 6 Ba 3.82
Ba  0.9035  0.9035  0.9035  6 Mg 3.71-3.72, 6 Ba 3.82
Mg  0.3069  0.3069  0.3069  3 Mg 3.15
Mg  0.5000  0.5000  0.5000  6 Ba 3.72, 6 Mg 3.82
Mg  0.6931  0.6931  0.6931  3 Mg 3.15

The highest VASP energy belongs to which entry? MgNbH3